Here is crystalline Ta2InOs2 at its relaxed geometry from Alexandria. Energies are from PBE.

Values from the calculation:
- energy of formation from the pure elements (eV per atom) = 0.329
- energy above the most stable polymorph in this dataset (meV per atom) = 385
- electronic total energy (eV per cell) = -47.26
- space-group type = I4/mmm

Cell lengths 4.0656, 4.0656, 6.7832 Å; angles 72.56, 72.56, 90.00 degrees
Last column: nearest neighbours and their distance in Å.
Fractional coordinates of all 5 atoms:
In1 0.0000 0.0000 0.0000  8 Ta 3.24
Os1 0.7500 0.2500 0.5000  4 Ta 2.57
Os2 0.2500 0.7500 0.5000  4 Ta 2.57
Ta1 0.3775 0.3775 0.2449  4 Os 2.57
Ta2 0.6225 0.6225 0.7551  4 Os 2.57